Record 1
# Sr2CuNiSb2 PBE optimized geometry
data_Sr2CuNiSb2
_chemical_formula_sum 'Sr2 Cu1 Ni1 Sb2'
_symmetry_space_group_name_H-M 'P 1'
_symmetry_Int_Tables_number 1
_cell_length_a 4.427
_cell_length_b 4.427
_cell_length_c 9.122
_cell_angle_alpha 90.00
_cell_angle_beta 90.00
_cell_angle_gamma 120.00
loop_
_symmetry_equiv_pos_as_xyz
'x,y,z'
loop_
_atom_site_label
_atom_site_type_symbol
_atom_site_fract_x
_atom_site_fract_y
_atom_site_fract_z
Cu1 Cu 0.000 0.000 0.000
Ni1 Ni 0.667 0.333 0.500
Sb1 Sb 0.667 0.333 0.000
Sb2 Sb 0.000 0.000 0.500
Sr1 Sr 0.333 0.667 0.255
Sr2 Sr 0.333 0.667 0.745
# * electronic total energy: -24.98 eV/f.u.
# * space-group type: P-6m2 (187)


Record 2
# CuTcNiSb PBE optimized geometry
data_CuTcNiSb
_chemical_formula_sum 'Cu1 Tc1 Ni1 Sb1'
_symmetry_space_group_name_H-M 'P 1'
_symmetry_Int_Tables_number 1
_cell_length_a 4.362
_cell_length_b 4.362
_cell_length_c 4.362
_cell_angle_alpha 60.00
_cell_angle_beta 60.00
_cell_angle_gamma 60.00
loop_
_symmetry_equiv_pos_as_xyz
'x,y,z'
loop_
_atom_site_label
_atom_site_type_symbol
_atom_site_fract_x
_atom_site_fract_y
_atom_site_fract_z
Cu1 Cu 0.750 0.750 0.750
Ni1 Ni 0.250 0.250 0.250
Sb1 Sb 0.000 0.000 0.000
Tc1 Tc 0.500 0.500 0.500
# * electronic total energy: -22.25 eV/f.u.
# * space-group type: F-43m (216)


Record 3
# CuTcNiSb PBE optimized geometry
data_CuTcNiSb
_chemical_formula_sum 'Cu1 Tc1 Ni1 Sb1'
_symmetry_space_group_name_H-M 'P 1'
_symmetry_Int_Tables_number 1
_cell_length_a 4.361
_cell_length_b 4.361
_cell_length_c 4.361
_cell_angle_alpha 60.00
_cell_angle_beta 60.00
_cell_angle_gamma 60.00
loop_
_symmetry_equiv_pos_as_xyz
'x,y,z'
loop_
_atom_site_label
_atom_site_type_symbol
_atom_site_fract_x
_atom_site_fract_y
_atom_site_fract_z
Cu1 Cu 0.750 0.750 0.750
Ni1 Ni 0.500 0.500 0.500
Sb1 Sb 0.000 0.000 0.000
Tc1 Tc 0.250 0.250 0.250
# * electronic total energy: -22.98 eV/f.u.
# * space-group type: F-43m (216)


Record 4
# CuNiSbW PBE optimized geometry
data_CuNiSbW
_chemical_formula_sum 'Cu1 Ni1 Sb1 W1'
_symmetry_space_group_name_H-M 'P 1'
_symmetry_Int_Tables_number 1
_cell_length_a 4.426
_cell_length_b 4.426
_cell_length_c 4.426
_cell_angle_alpha 60.00
_cell_angle_beta 60.00
_cell_angle_gamma 60.00
loop_
_symmetry_equiv_pos_as_xyz
'x,y,z'
loop_
_atom_site_label
_atom_site_type_symbol
_atom_site_fract_x
_atom_site_fract_y
_atom_site_fract_z
Cu1 Cu 0.750 0.750 0.750
Ni1 Ni 0.500 0.500 0.500
Sb1 Sb 0.000 0.000 0.000
W1 W 0.250 0.250 0.250
# * electronic total energy: -24.46 eV/f.u.
# * space-group type: F-43m (216)


Record 5
# CuNiSbW PBE optimized geometry
data_CuNiSbW
_chemical_formula_sum 'Cu1 Ni1 Sb1 W1'
_symmetry_space_group_name_H-M 'P 1'
_symmetry_Int_Tables_number 1
_cell_length_a 4.412
_cell_length_b 4.412
_cell_length_c 4.412
_cell_angle_alpha 60.00
_cell_angle_beta 60.00
_cell_angle_gamma 60.00
loop_
_symmetry_equiv_pos_as_xyz
'x,y,z'
loop_
_atom_site_label
_atom_site_type_symbol
_atom_site_fract_x
_atom_site_fract_y
_atom_site_fract_z
Cu1 Cu 0.750 0.750 0.750
Ni1 Ni 0.250 0.250 0.250
Sb1 Sb 0.000 0.000 0.000
W1 W 0.500 0.500 0.500
# * electronic total energy: -23.93 eV/f.u.
# * space-group type: F-43m (216)


Record 6
# ZnCuNiSb PBE optimized geometry
data_ZnCuNiSb
_chemical_formula_sum 'Zn1 Cu1 Ni1 Sb1'
_symmetry_space_group_name_H-M 'P 1'
_symmetry_Int_Tables_number 1
_cell_length_a 4.426
_cell_length_b 4.426
_cell_length_c 4.426
_cell_angle_alpha 60.00
_cell_angle_beta 60.00
_cell_angle_gamma 60.00
loop_
_symmetry_equiv_pos_as_xyz
'x,y,z'
loop_
_atom_site_label
_atom_site_type_symbol
_atom_site_fract_x
_atom_site_fract_y
_atom_site_fract_z
Cu1 Cu 0.750 0.750 0.750
Ni1 Ni 0.500 0.500 0.500
Sb1 Sb 0.250 0.250 0.250
Zn1 Zn 0.000 0.000 0.000
# * electronic total energy: -14.00 eV/f.u.
# * space-group type: F-43m (216)


Record 7
# ZnCuNiSb PBE optimized geometry
data_ZnCuNiSb
_chemical_formula_sum 'Zn1 Cu1 Ni1 Sb1'
_symmetry_space_group_name_H-M 'P 1'
_symmetry_Int_Tables_number 1
_cell_length_a 4.407
_cell_length_b 4.407
_cell_length_c 4.407
_cell_angle_alpha 60.00
_cell_angle_beta 60.00
_cell_angle_gamma 60.00
loop_
_symmetry_equiv_pos_as_xyz
'x,y,z'
loop_
_atom_site_label
_atom_site_type_symbol
_atom_site_fract_x
_atom_site_fract_y
_atom_site_fract_z
Cu1 Cu 0.250 0.250 0.250
Ni1 Ni 0.750 0.750 0.750
Sb1 Sb 0.000 0.000 0.000
Zn1 Zn 0.500 0.500 0.500
# * electronic total energy: -14.45 eV/f.u.
# * space-group type: F-43m (216)


Record 8
# ScCuNi2 PBE optimized geometry
data_ScCuNi2
_chemical_formula_sum 'Sc1 Cu1 Ni2'
_symmetry_space_group_name_H-M 'P 1'
_symmetry_Int_Tables_number 1
_cell_length_a 4.228
_cell_length_b 4.228
_cell_length_c 4.228
_cell_angle_alpha 60.00
_cell_angle_beta 60.00
_cell_angle_gamma 60.00
loop_
_symmetry_equiv_pos_as_xyz
'x,y,z'
loop_
_atom_site_label
_atom_site_type_symbol
_atom_site_fract_x
_atom_site_fract_y
_atom_site_fract_z
Cu1 Cu 0.250 0.250 0.250
Ni1 Ni 0.500 0.500 0.500
Ni2 Ni 0.750 0.750 0.750
Sc1 Sc 0.000 0.000 0.000
# * electronic total energy: -22.09 eV/f.u.
# * space-group type: F-43m (216)


Record 9
# Sc3CuNi8 PBE optimized geometry
data_Sc3CuNi8
_chemical_formula_sum 'Sc3 Cu1 Ni8'
_symmetry_space_group_name_H-M 'P 1'
_symmetry_Int_Tables_number 1
_cell_length_a 8.347
_cell_length_b 8.347
_cell_length_c 8.347
_cell_angle_alpha 33.48
_cell_angle_beta 33.48
_cell_angle_gamma 33.48
loop_
_symmetry_equiv_pos_as_xyz
'x,y,z'
loop_
_atom_site_label
_atom_site_type_symbol
_atom_site_fract_x
_atom_site_fract_y
_atom_site_fract_z
Cu1 Cu 0.871 0.871 0.871
Ni1 Ni 0.188 0.188 0.188
Ni2 Ni 0.940 0.437 0.437
Ni3 Ni 0.437 0.940 0.437
Ni4 Ni 0.938 0.938 0.439
Ni5 Ni 0.688 0.688 0.688
Ni6 Ni 0.938 0.439 0.938
Ni7 Ni 0.439 0.938 0.938
Ni8 Ni 0.437 0.437 0.940
Sc1 Sc 0.377 0.377 0.377
Sc2 Sc 0.507 0.507 0.507
Sc3 Sc 0.991 0.991 0.991
# * electronic total energy: -72.49 eV/f.u.
# * space-group type: R3m (160)


Record 10
# ScCuSiNi PBE optimized geometry
data_ScCuSiNi
_chemical_formula_sum 'Sc1 Cu1 Si1 Ni1'
_symmetry_space_group_name_H-M 'P 1'
_symmetry_Int_Tables_number 1
_cell_length_a 4.287
_cell_length_b 4.287
_cell_length_c 4.287
_cell_angle_alpha 60.00
_cell_angle_beta 60.00
_cell_angle_gamma 60.00
loop_
_symmetry_equiv_pos_as_xyz
'x,y,z'
loop_
_atom_site_label
_atom_site_type_symbol
_atom_site_fract_x
_atom_site_fract_y
_atom_site_fract_z
Cu1 Cu 0.750 0.750 0.750
Ni1 Ni 0.000 0.000 0.000
Sc1 Sc 0.250 0.250 0.250
Si1 Si 0.500 0.500 0.500
# * electronic total energy: -22.26 eV/f.u.
# * space-group type: F-43m (216)


Record 11
# ScCuSiNi PBE optimized geometry
data_ScCuSiNi
_chemical_formula_sum 'Sc1 Cu1 Si1 Ni1'
_symmetry_space_group_name_H-M 'P 1'
_symmetry_Int_Tables_number 1
_cell_length_a 4.240
_cell_length_b 4.240
_cell_length_c 4.240
_cell_angle_alpha 60.00
_cell_angle_beta 60.00
_cell_angle_gamma 60.00
loop_
_symmetry_equiv_pos_as_xyz
'x,y,z'
loop_
_atom_site_label
_atom_site_type_symbol
_atom_site_fract_x
_atom_site_fract_y
_atom_site_fract_z
Cu1 Cu 0.750 0.750 0.750
Ni1 Ni 0.250 0.250 0.250
Sc1 Sc 0.000 0.000 0.000
Si1 Si 0.500 0.500 0.500
# * electronic total energy: -23.05 eV/f.u.
# * space-group type: F-43m (216)


Record 12
# ScCuSiNi PBE optimized geometry
data_ScCuSiNi
_chemical_formula_sum 'Sc1 Cu1 Si1 Ni1'
_symmetry_space_group_name_H-M 'P 1'
_symmetry_Int_Tables_number 1
_cell_length_a 4.273
_cell_length_b 4.273
_cell_length_c 4.273
_cell_angle_alpha 60.00
_cell_angle_beta 60.00
_cell_angle_gamma 60.00
loop_
_symmetry_equiv_pos_as_xyz
'x,y,z'
loop_
_atom_site_label
_atom_site_type_symbol
_atom_site_fract_x
_atom_site_fract_y
_atom_site_fract_z
Cu1 Cu 0.750 0.750 0.750
Ni1 Ni 0.500 0.500 0.500
Sc1 Sc 0.000 0.000 0.000
Si1 Si 0.250 0.250 0.250
# * electronic total energy: -22.56 eV/f.u.
# * space-group type: F-43m (216)